(1)
A relaxed structure of SrCdTcO6. Source: Alexandria, functional PBE-GGA.

a b c (Å): 5.118 5.443 5.817
angles (deg): 62.19 88.25 86.06
Space group P1 (No. 1)
Unique sites:
Sr: 0.000 0.000 0.000
Cd: 0.500 0.333 0.334
Tc: 0.497 0.651 0.699
O: 0.278 0.405 0.919
O: 0.278 0.958 0.636
O: 0.324 0.699 0.351
O: 0.678 0.949 0.351
O: 0.717 0.403 0.641
O: 0.718 0.680 0.917

Properties
ΔE_f (raw), eV/atom: -1.436
Magnetic moment, Bohr magnetons per cell: 1.02
E_tot, eV/atom: -6.18


(2)
A relaxed structure of Sr2CdTcO. Source: Alexandria, functional PBE-GGA.

a b c (Å): 5.431 5.431 3.933
angles (deg): 90.00 90.00 90.00
Space group P4/mmm (No. 123)
Unique sites:
Sr: 0.000 0.500 0.000
Cd: 0.000 0.000 0.500
Tc: 0.500 0.500 0.500
O: 0.500 0.500 0.000

Properties
ΔE_f (raw), eV/atom: -0.684
Magnetic moment, Bohr magnetons per cell: 0.00
E_tot, eV/atom: -4.60


(3)
A relaxed structure of SrCdTc2O. Source: Alexandria, functional PBE-GGA.

a b c (Å): 5.552 5.552 4.370
angles (deg): 90.00 90.00 90.00
Space group P4/mmm (No. 123)
Unique sites:
Sr: 0.000 0.000 0.000
Cd: 0.500 0.500 0.500
Tc: 0.000 0.500 0.000
O: 0.000 0.000 0.500

Properties
ΔE_f (raw), eV/atom: 1.673
Magnetic moment, Bohr magnetons per cell: 7.59
E_tot, eV/atom: -3.98


(4)
A relaxed structure of Sr3CdTc2O9. Source: Alexandria, functional PBE-GGA.

a b c (Å): 5.7658 5.7658 7.0744
angles (deg): 90.00 90.00 120.00
Space group P-3m1 (No. 164)
Unique sites:
Sr: 0.0000 0.0000 0.0000
Sr: 0.3333 0.6667 0.6448
Cd: 0.0000 0.0000 0.5000
Tc: 0.3333 0.6667 0.1503
O: 0.0000 0.5000 0.0000
O: 0.1775 0.3550 0.3128

Properties
ΔE_f (raw), eV/atom: -1.974
Magnetic moment, Bohr magnetons per cell: 0.00
E_tot, eV/atom: -6.73


(5)
A relaxed structure of SrCdTc2O8. Source: Alexandria, functional PBE-GGA.

a b c (Å): 5.357 5.357 11.954
angles (deg): 90.00 90.00 90.00
Space group I-4 (No. 82)
Unique sites:
Sr: 0.000 0.000 0.000
Cd: 0.000 0.500 0.250
Tc: 0.000 0.000 0.500
Tc: 0.000 0.500 0.750
O: 0.139 0.247 0.420
O: 0.156 0.739 0.828

Properties
ΔE_f (raw), eV/atom: -1.632
Magnetic moment, Bohr magnetons per cell: 0.54
E_tot, eV/atom: -6.88


(6)
A relaxed structure of Sr2CdTeO6. Source: Alexandria, functional PBE-GGA.

a b c (Å): 5.827 5.955 10.104
angles (deg): 90.00 125.18 90.00
Space group P2_1/c (No. 14)
Unique sites:
Sr: 0.238 0.045 0.249
Cd: 0.000 0.000 0.500
Te: 0.500 0.000 0.000
O: 0.188 0.187 0.960
O: 0.267 0.731 0.949
O: 0.358 0.032 0.772

Properties
ΔE_f (raw), eV/atom: -1.948
Magnetic moment, Bohr magnetons per cell: 0.00
E_tot, eV/atom: -5.66


(7)
A relaxed structure of SrCd2TeO2. Source: Alexandria, functional PBE-GGA.

a b c (Å): 8.343 6.284 8.712
angles (deg): 90.00 110.23 90.00
Space group P2_1/m (No. 11)
Unique sites:
Sr: 0.080 0.250 0.427
Cd: 0.220 0.250 0.843
Cd: 0.353 0.750 0.730
Te: 0.303 0.250 0.171
O: 0.162 0.000 0.660

Properties
ΔE_f (raw), eV/atom: -1.258
Magnetic moment, Bohr magnetons per cell: 0.00
E_tot, eV/atom: -4.02


(8)
A relaxed structure of SrTi2CdO6. Source: Alexandria, functional PBE-GGA.

a b c (Å): 9.498 11.256 6.553
angles (deg): 90.00 115.46 90.00
Space group C2/c (No. 15)
Unique sites:
Sr: 0.000 0.104 0.250
Ti: 0.147 0.426 0.186
Cd: 0.000 0.215 0.750
O: 0.105 0.273 0.097
O: 0.115 0.464 0.451
O: 0.140 0.072 0.675

Properties
ΔE_f (raw), eV/atom: -2.668
Magnetic moment, Bohr magnetons per cell: 0.00
E_tot, eV/atom: -7.48


(9)
A relaxed structure of Sr2TiCdO5. Source: Alexandria, functional PBE-GGA.

a b c (Å): 3.525 13.846 10.763
angles (deg): 90.00 90.00 90.00
Space group Cmc2_1 (No. 36)
Unique sites:
Sr: 0.000 0.103 0.000
Sr: 0.000 0.157 0.631
Ti: 0.000 0.475 0.764
Cd: 0.000 0.214 0.347
O: 0.000 0.038 0.335
O: 0.000 0.279 0.989
O: 0.000 0.336 0.710
O: 0.000 0.386 0.321
O: 0.000 0.487 0.104

Properties
ΔE_f (raw), eV/atom: -2.515
Magnetic moment, Bohr magnetons per cell: 0.00
E_tot, eV/atom: -6.62


(10)
A relaxed structure of Sr2TlCdO4. Source: Alexandria, functional PBE-GGA.

a b c (Å): 7.185 7.194 10.163
angles (deg): 90.00 90.00 90.00
Space group Imma (No. 74)
Unique sites:
Sr: 0.000 0.000 0.000
Sr: 0.250 0.250 0.250
Tl: 0.250 0.250 0.750
Cd: 0.000 0.000 0.500
O: 0.000 0.004 0.254
O: 0.244 0.250 0.497

Properties
ΔE_f (raw), eV/atom: -1.707
Magnetic moment, Bohr magnetons per cell: 0.00
E_tot, eV/atom: -5.02


(11)
A relaxed structure of SrTl2CdO4. Source: Alexandria, functional PBE-GGA.

a b c (Å): 3.626 13.543 11.786
angles (deg): 90.00 90.00 90.00
Space group Cmcm (No. 63)
Unique sites:
Sr: 0.000 0.063 0.250
Tl: 0.000 0.384 0.039
Cd: 0.000 0.214 0.750
O: 0.000 0.000 0.000
O: 0.000 0.345 0.640
O: 0.000 0.393 0.250

Properties
ΔE_f (raw), eV/atom: -1.124
Magnetic moment, Bohr magnetons per cell: 0.00
E_tot, eV/atom: -4.52


(12)
A relaxed structure of SrTlCd2O4. Source: Alexandria, functional PBE-GGA.

a b c (Å): 3.381 12.649 11.878
angles (deg): 90.00 90.00 90.00
Space group Cmcm (No. 63)
Unique sites:
Sr: 0.000 0.207 0.250
Tl: 0.000 0.057 0.750
Cd: 0.000 0.371 0.005
O: 0.000 0.000 0.000
O: 0.000 0.218 0.611
O: 0.000 0.438 0.750

Properties
ΔE_f (raw), eV/atom: -1.204
Magnetic moment, Bohr magnetons per cell: 0.00
E_tot, eV/atom: -4.42


Look up the ΔE_f (raw) of the seventh one.
-1.258 eV/atom


Copy entry 11 word for word.
A relaxed structure of SrTl2CdO4. Source: Alexandria, functional PBE-GGA.

a b c (Å): 3.626 13.543 11.786
angles (deg): 90.00 90.00 90.00
Space group Cmcm (No. 63)
Unique sites:
Sr: 0.000 0.063 0.250
Tl: 0.000 0.384 0.039
Cd: 0.000 0.214 0.750
O: 0.000 0.000 0.000
O: 0.000 0.345 0.640
O: 0.000 0.393 0.250

Properties
ΔE_f (raw), eV/atom: -1.124
Magnetic moment, Bohr magnetons per cell: 0.00
E_tot, eV/atom: -4.52


Copy entry 4 word for word.
A relaxed structure of Sr3CdTc2O9. Source: Alexandria, functional PBE-GGA.

a b c (Å): 5.7658 5.7658 7.0744
angles (deg): 90.00 90.00 120.00
Space group P-3m1 (No. 164)
Unique sites:
Sr: 0.0000 0.0000 0.0000
Sr: 0.3333 0.6667 0.6448
Cd: 0.0000 0.0000 0.5000
Tc: 0.3333 0.6667 0.1503
O: 0.0000 0.5000 0.0000
O: 0.1775 0.3550 0.3128

Properties
ΔE_f (raw), eV/atom: -1.974
Magnetic moment, Bohr magnetons per cell: 0.00
E_tot, eV/atom: -6.73